--- one ---
A plane-wave DFT calculation with PBE-GGA was carried out for a geometry-optimized K2NaW structure.

## Properties
Its symmetry is I-42d (122). The volume is 345.00 Å³/cell. Its crystal system is tetragonal.

Cell lengths 7.8266, 7.8266, 7.8266 Å; angles 101.81, 101.81, 126.20 degrees
With the nearest neighbours (Å) after each atom.
Fractional positions:
K 0.1157 0.6250 0.9907  2 W 3.54, 2 K 3.55, 2 Na 3.66
K 0.3750 0.3657 0.4907  2 W 3.54, 2 K 3.55, 2 Na 3.66
K 0.6343 0.1250 0.0093  2 W 3.54, 2 K 3.55, 2 Na 3.66
K 0.8750 0.8843 0.5093  2 W 3.54, 2 K 3.55, 2 Na 3.66
Na 0.2500 0.7500 0.5000  2 W 3.54, 4 K 3.66
Na 0.5000 0.5000 0.0000  2 W 3.54, 4 K 3.66
W 0.0000 0.0000 0.0000  4 K 3.54, 2 Na 3.54
W 0.7500 0.2500 0.5000  4 K 3.54, 2 Na 3.54



--- two ---
A plane-wave DFT calculation with PBE-GGA was carried out for a geometry-optimized K2NaW structure.

## Properties
Its symmetry is Fm-3m (225). The volume is 162.71 Å³/cell. Its crystal system is cubic.

Cell lengths 6.1278, 6.1278, 6.1278 Å; angles 60.00, 60.00, 60.00 degrees
With the nearest neighbours (Å) after each atom.
Fractional positions:
K 0.2500 0.2500 0.2500  4 W 3.75, 4 Na 3.75
K 0.7500 0.7500 0.7500  4 W 3.75, 4 Na 3.75
Na 0.0000 0.0000 0.0000  8 K 3.75
W 0.5000 0.5000 0.5000  8 K 3.75



Stability ranking, top and bottom: two is the most stable and one is the least stable.